TlVH2F8 | PBE+U | optimized geometry

Cell lengths 5.0368, 4.9491, 7.8800 Å; angles 91.39, 80.84, 68.78 degrees
Sites, in units of the cell vectors:
F 0.7503 0.2519 0.1856
F 0.8003 0.2197 0.8478
F 0.7753 0.7907 0.0129
F 0.6505 0.6799 0.3944
F 0.2247 0.2093 0.9871
F 0.3495 0.3201 0.6056
F 0.1997 0.7803 0.1522
F 0.2497 0.7481 0.8144
H 0.3176 0.4573 0.7042
H 0.6824 0.5427 0.2958
Tl 0.0000 0.0000 0.5000
V 0.0000 0.0000 0.0000

E = -4.73 eV/atom
space group = P-1 (2)